VASP calculation (GGA+U) on crystalline TlV2CuO at its relaxed geometry.

For the polymorph energy (0 for the lowest one), the calculation gives 0.000 eV/atom. As for the crystal system: tetragonal.

Cell lengths 4.1715, 4.1715, 4.5119 Å; angles 90.00, 90.00, 90.00 degrees
Sites, in units of the cell vectors:
Tl1 0.0000 0.0000 0.0000
V1 0.0000 0.5000 0.5000
V2 0.5000 0.0000 0.5000
Cu1 0.5000 0.5000 0.0000
O1 0.5000 0.5000 0.5000